1.
{
  "formula": "NpNb2Tc",
  "functional": "PBE",
  "state": "relaxed",
  "lattice": [[3.1748, 0.0000, 0.0000], [0.0000, 3.1748, 0.0000], [0.0000, 0.0000, 7.3399]],
  "species": ["Nb", "Nb", "Np", "Tc"],
  "frac_coords": [[0.0000, 0.0000, 0.2190], [0.0000, 0.0000, 0.7810], [0.5000, 0.5000, 0.5000], [0.5000, 0.5000, 0.0000]],
  "dos_ef_per_ev_cell": 5.0,
  "energy_ev_per_atom": -10.746,
  "mass_density_kg_m3": 11690,
  "relative_energy_ev_per_atom": 0.000,
  "ef_ev_per_atom": 0.12
}

=====

2.
{
  "formula": "Nd2TmZr",
  "functional": "PBE",
  "state": "relaxed",
  "lattice": [[3.4044, 0.0000, 0.0000], [1.7022, 2.9483, 0.0000], [1.7022, 0.9828, 12.1330]],
  "species": ["Zr", "Nd", "Nd", "Tm"],
  "frac_coords": [[0.0000, 0.0000, 0.0000], [0.9140, 0.9140, 0.2581], [0.0860, 0.0860, 0.7419], [0.5000, 0.5000, 0.5000]],
  "dos_ef_per_ev_cell": 4.9,
  "energy_ev_per_atom": -5.332,
  "mass_density_kg_m3": 7481,
  "relative_energy_ev_per_atom": 0.186,
  "ef_ev_per_atom": 0.31
}

=====

3.
{
  "formula": "La2Pm6Pr3",
  "functional": "PBE",
  "state": "relaxed",
  "lattice": [[-3.0249, -3.5297, 1.5297], [3.8011, -2.4429, 1.8796], [-2.4569, 11.1967, 13.1499]],
  "species": ["Pm", "La", "Pr", "Pm", "Pr", "Pm", "Pr", "Pm", "Pm", "La", "Pm"],
  "frac_coords": [[0.6211, 0.1211, 0.2423], [0.4548, 0.4548, 0.9095], [0.2024, 0.2024, 0.4048], [0.1211, 0.6211, 0.2423], [0.7976, 0.7976, 0.5952], [0.3789, 0.8789, 0.7577], [0.0000, 0.0000, 0.0000], [0.8789, 0.3789, 0.7577], [0.3040, 0.3040, 0.6080], [0.5452, 0.5452, 0.0905], [0.6960, 0.6960, 0.3920]],
  "dos_ef_per_ev_cell": 15.9,
  "energy_ev_per_atom": -4.548,
  "mass_density_kg_m3": 6369,
  "relative_energy_ev_per_atom": 0.098,
  "ef_ev_per_atom": 0.24
}

=====

4.
{
  "formula": "SrIn2W",
  "functional": "PBE",
  "state": "relaxed",
  "lattice": [[4.3139, 0.0000, 0.0000], [0.0000, 3.0704, 0.0077], [0.0000, 3.0685, 7.0759]],
  "species": ["W", "Sr", "In", "In"],
  "frac_coords": [[0.5000, 0.7500, 0.7500], [0.5000, 0.2500, 0.2500], [0.0000, 0.0455, 0.9551], [0.0000, 0.4545, 0.5449]],
  "dos_ef_per_ev_cell": 2.9,
  "energy_ev_per_atom": -4.649,
  "mass_density_kg_m3": 8888,
  "relative_energy_ev_per_atom": 0.016,
  "ef_ev_per_atom": 0.38
}

=====

5.
{
  "formula": "Mg2ScAs",
  "functional": "PBE",
  "state": "relaxed",
  "lattice": [[-0.0549, -2.0686, 2.6721], [2.1545, -2.0803, -1.5662], [5.8088, 3.7440, 3.0177]],
  "species": ["Mg", "Sc", "As", "Mg"],
  "frac_coords": [[0.0000, 0.0000, 0.5391], [0.5000, 0.5000, 0.2500], [0.5000, 0.5000, 0.7500], [0.0000, 0.0000, 0.9609]],
  "dos_ef_per_ev_cell": 3.2,
  "energy_ev_per_atom": -3.714,
  "mass_density_kg_m3": 3248,
  "ef_ev_per_atom": -0.17
}

=====

6.
{
  "formula": "Mg2AlRu",
  "functional": "PBE",
  "state": "relaxed",
  "lattice": [[-1.6986, -1.0239, 2.1210], [-0.5089, -2.3938, -1.5631], [6.5798, -3.6796, 3.4929]],
  "species": ["Ru", "Al", "Mg", "Mg"],
  "frac_coords": [[0.5000, 0.5000, 0.2500], [0.5000, 0.5000, 0.7500], [0.0000, 0.0000, 0.4765], [0.0000, 0.0000, 0.0235]],
  "dos_ef_per_ev_cell": 2.9,
  "energy_ev_per_atom": -3.971,
  "mass_density_kg_m3": 4187,
  "ef_ev_per_atom": 0.08
}

=====

7.
{
  "formula": "ScAg3",
  "functional": "PBE",
  "state": "relaxed",
  "lattice": [[-1.5488, 3.4199, -2.8919], [-0.3261, -0.8039, -4.6588], [-4.2573, -0.3759, -2.0473]],
  "species": ["Ag", "Ag", "Sc", "Ag"],
  "frac_coords": [[0.7500, 0.7500, 0.7500], [0.5000, 0.5000, 0.5000], [0.2500, 0.2500, 0.2500], [0.0000, 0.0000, 0.0000]],
  "dos_ef_per_ev_cell": 2.6,
  "energy_ev_per_atom": -3.886,
  "mass_density_kg_m3": 8133,
  "ef_ev_per_atom": -0.16
}

=====

8.
{
  "formula": "Mg3C",
  "functional": "PBE",
  "state": "relaxed",
  "lattice": [[-3.9928, 3.8518, -0.8904], [-1.4201, -5.3592, 0.9134], [-0.4107, 1.6091, 8.8028]],
  "species": ["Mg", "Mg", "C", "Mg", "Mg", "Mg", "C", "Mg", "Mg", "Mg", "Mg", "C", "C", "Mg", "Mg", "Mg"],
  "frac_coords": [[0.6797, 0.8399, 0.7500], [0.5000, 0.0000, 0.5000], [0.0000, 0.0000, 0.0000], [0.8399, 0.1601, 0.2500], [0.1601, 0.3203, 0.7500], [0.0000, 0.5000, 0.5000], [0.0000, 0.0000, 0.5000], [0.5000, 0.5000, 0.0000], [0.5000, 0.5000, 0.5000], [0.0000, 0.5000, 0.0000], [0.1601, 0.8399, 0.7500], [0.3333, 0.6667, 0.2500], [0.6667, 0.3333, 0.7500], [0.3203, 0.1601, 0.2500], [0.5000, 0.0000, 0.0000], [0.8399, 0.6797, 0.2500]],
  "dos_ef_per_ev_cell": 0.8,
  "energy_ev_per_atom": -2.660,
  "mass_density_kg_m3": 2303,
  "relative_energy_ev_per_atom": 0.506,
  "ef_ev_per_atom": 0.84
}

=====

9.
{
  "formula": "PmSc4In4",
  "functional": "PBE",
  "state": "relaxed",
  "lattice": [[6.8642, 0.0000, 0.0000], [0.0000, 6.8642, 0.0000], [0.0000, 0.0000, 10.1606]],
  "species": ["In", "Sc", "In", "In", "In", "In", "Sc", "Sc", "Sc", "In", "Sc", "Sc", "Sc", "Pm", "In", "Pm", "In", "Sc"],
  "frac_coords": [[0.0000, 0.7156, 0.7105], [0.5000, 0.7669, 0.0842], [0.2156, 0.5000, 0.2105], [0.7844, 0.5000, 0.2105], [0.7156, 0.0000, 0.2895], [0.5000, 0.2156, 0.7895], [0.0000, 0.2669, 0.4158], [0.0000, 0.7331, 0.4158], [0.7331, 0.0000, 0.5842], [0.0000, 0.2844, 0.7105], [0.7669, 0.5000, 0.9158], [0.2669, 0.0000, 0.5842], [0.2331, 0.5000, 0.9158], [0.0000, 0.0000, 0.0000], [0.5000, 0.7844, 0.7895], [0.5000, 0.5000, 0.5000], [0.2844, 0.0000, 0.2895], [0.5000, 0.2331, 0.0842]],
  "dos_ef_per_ev_cell": 15.8,
  "energy_ev_per_atom": -4.766,
  "mass_density_kg_m3": 5439,
  "ef_ev_per_atom": -0.21
}

=====

10.
{
  "formula": "Cd2InHg7Bi2",
  "functional": "PBE",
  "state": "relaxed",
  "lattice": [[4.9208, 0.0000, 0.0000], [0.0000, 6.1834, 0.0000], [-2.4604, -3.0917, 11.2616]],
  "species": ["In", "Cd", "Cd", "Hg", "Hg", "Hg", "Bi", "Hg", "Hg", "Bi", "Hg", "Hg"],
  "frac_coords": [[0.0000, 0.0943, 0.0000], [0.6320, 0.5687, 0.2641], [0.3680, 0.3046, 0.7359], [0.5000, 0.4287, 0.0000], [0.5966, 0.0644, 0.1932], [0.0710, 0.7226, 0.1419], [0.7911, 0.2542, 0.5822], [0.8056, 0.7746, 0.6112], [0.1944, 0.1634, 0.3888], [0.2089, 0.6720, 0.4178], [0.4034, 0.8712, 0.8068], [0.9290, 0.5807, 0.8581]],
  "dos_ef_per_ev_cell": 4.5,
  "energy_ev_per_atom": -1.141,
  "mass_density_kg_m3": 10476,
  "ef_ev_per_atom": 0.06
}

=====

11.
{
  "formula": "Gd2LuPt",
  "functional": "PBE",
  "state": "relaxed",
  "lattice": [[-0.6754, 1.2496, 3.3286], [-3.4205, -1.1531, -0.2612], [2.1865, -7.1989, 3.1464]],
  "species": ["Pt", "Gd", "Lu", "Gd"],
  "frac_coords": [[0.5000, 0.5000, 0.0000], [0.0000, 0.0000, 0.7976], [0.5000, 0.5000, 0.5000], [0.0000, 0.0000, 0.2024]],
  "dos_ef_per_ev_cell": 5.4,
  "energy_ev_per_atom": -10.226,
  "mass_density_kg_m3": 10643,
  "relative_energy_ev_per_atom": 0.000,
  "ef_ev_per_atom": -0.55
}

=====

12.
{
  "formula": "Ca7B14Rh20",
  "functional": "PBE",
  "state": "relaxed",
  "lattice": [[20.9077, 0.0204, -0.0120], [19.7711, 5.5079, -0.0149], [1.1366, -2.6592, 4.8002]],
  "species": ["Rh", "Ca", "Rh", "Rh", "Ca", "Rh", "Rh", "Rh", "B", "B", "Rh", "Rh", "Ca", "Rh", "Rh", "B", "Ca", "Rh", "B", "Rh", "Ca", "Rh", "B", "Ca", "B", "B", "Rh", "B", "B", "Rh", "Rh", "Ca", "Rh", "B", "Rh", "B", "B", "B", "Rh", "B", "Rh"],
  "frac_coords": [[0.8194, 0.8194, 0.1806], [0.5000, 0.5000, 0.5000], [0.8916, 0.8916, 0.6084], [0.4639, 0.4639, 0.0361], [0.2778, 0.2778, 0.7222], [0.8918, 0.8918, 0.1082], [0.2500, 0.2500, 0.2500], [0.7500, 0.7500, 0.7500], [0.9422, 0.6240, 0.3760], [0.9776, 0.3113, 0.6887], [0.6084, 0.6084, 0.8916], [0.3916, 0.3916, 0.1084], [0.3533, 0.3533, 0.6467], [0.1084, 0.1084, 0.3916], [0.1082, 0.1082, 0.8918], [0.6240, 0.9422, 0.0578], [0.6467, 0.6467, 0.3533], [0.6804, 0.6804, 0.8196], [0.0224, 0.6887, 0.3113], [0.0360, 0.0360, 0.9640], [0.7222, 0.7222, 0.2778], [0.8196, 0.8196, 0.6804], [0.9066, 0.2379, 0.7621], [0.4270, 0.4270, 0.5730], [0.0934, 0.7621, 0.2379], [0.7621, 0.0934, 0.9066], [0.3196, 0.3196, 0.1804], [0.6887, 0.0224, 0.9776], [0.0578, 0.3760, 0.6240], [0.1806, 0.1806, 0.8194], [0.1804, 0.1804, 0.3196], [0.5730, 0.5730, 0.4270], [0.9640, 0.9640, 0.0360], [0.8335, 0.1665, 0.8335], [0.0361, 0.0361, 0.4639], [0.2379, 0.9066, 0.0934], [0.3760, 0.0578, 0.9422], [0.1665, 0.8335, 0.1665], [0.5361, 0.5361, 0.9639], [0.3113, 0.9776, 0.0224], [0.9639, 0.9639, 0.5361]],
  "dos_ef_per_ev_cell": 7.2,
  "energy_ev_per_atom": -6.843,
  "mass_density_kg_m3": 7508,
  "ef_ev_per_atom": -0.63
}